A plane-wave DFT calculation with GGA-PBEsol was carried out for crystalline LaSc at its relaxed geometry.

a b c (Å): 3.4392 3.4392 16.7160
angles (deg): 90.00 90.00 120.00
With the nearest neighbours (Å) after each atom.
Positions (direct):
La1 0.0000 0.0000 0.0000  3 Sc 3.36, 6 La 3.44
La2 0.0000 0.0000 0.3283  6 Sc 3.42-3.44, 6 La 3.44
La3 0.3333 0.6667 0.8062  3 Sc 3.40, 9 La 3.44-3.80
Sc1 0.0000 0.0000 0.6413  9 Sc 3.14-3.44, 3 La 3.40
Sc2 0.3333 0.6667 0.1619  6 La 3.36-3.42, 6 Sc 3.44
Sc3 0.3333 0.6667 0.4961  9 Sc 3.14-3.44, 3 La 3.44

Properties
- SG = P3m1, No. 156
- theoretical density (kg/m³) = 5349
- M_tot (μB/atom) = 0.000
- uncorrected energy (eV per formula unit) = -11.79
- ΔE to the lowest computed polymorph (meV/atom) = 32
- formation enthalpy at 0 K (eV/f.u.) = 0.2